VASP calculation (PBE with a Hubbard U) on a relaxed Sr2LaCoO6 crystal.

Unit cell a=5.8046 b=5.8046 c=5.8046 alpha=119.48 beta=119.48 gamma=90.90
Last column: nearest neighbours and their distance in Å.
Fractional coordinates of all 10 atoms:
1 Sr 0.2500 0.7500 0.5000  12 O 2.91-2.94
2 La 0.5000 0.5000 0.0000  6 O 2.25-2.29
3 O 0.7720 0.2280 0.0000  1 Co 1.89
4 O 0.7720 0.7720 0.5440  1 Co 1.89
5 O 0.2280 0.7720 0.0000  1 Co 1.89
6 O 0.7810 0.7810 0.0000  1 Co 1.78
7 Co 0.0000 0.0000 0.0000  6 O 1.78-1.89
8 Sr 0.7500 0.2500 0.5000  12 O 2.91-2.94
9 O 0.2280 0.2280 0.4560  1 Co 1.89
10 O 0.2190 0.2190 0.0000  1 Co 1.78

Energy in eV per atom: -6.4290